1.
Below is a crystal of Ba2Cd relaxed with PBEsol, with properties calculated at the SCAN level.

Output
volume: 42.58 Å³/atom
total magnetic moment: 0.41 Bohr magnetons per cell
raw total energy: -36.72 eV/atom

```
data_Ba2Cd
_chemical_formula_sum 'Ba8 Cd4'
_space_group_name_H-M_alt 'C m c m'
_space_group_IT_number 63
_space_group_name_Hall '-C 2c 2'
_cell_length_a 4.235
_cell_length_b 19.537
_cell_length_c 6.175
_cell_angle_alpha 90.00
_cell_angle_beta 90.00
_cell_angle_gamma 90.00
loop_
_atom_site_label
_atom_site_type_symbol
_atom_site_fract_x
_atom_site_fract_y
_atom_site_fract_z
Ba1 Ba 0.000 0.074 0.250
Ba2 Ba 0.000 0.216 0.750
Cd1 Cd 0.000 0.425 0.250
```



2.
Below is a crystal of TlRhSeN2 relaxed with PBEsol, with properties calculated at the SCAN level.

Output
volume: 19.03 Å³/atom
total magnetic moment: 4.84 Bohr magnetons per cell
raw total energy: -26.92 eV/atom
raw formation energy: 10.17 eV/f.u.

```
data_TlRhSeN2
_chemical_formula_sum 'Tl1 Rh1 Se1 N2'
_space_group_name_H-M_alt 'P 4/m m m'
_space_group_IT_number 123
_space_group_name_Hall '-P 4 2'
_cell_length_a 4.064
_cell_length_b 4.064
_cell_length_c 5.763
_cell_angle_alpha 90.00
_cell_angle_beta 90.00
_cell_angle_gamma 90.00
loop_
_atom_site_label
_atom_site_type_symbol
_atom_site_fract_x
_atom_site_fract_y
_atom_site_fract_z
Tl1 Tl 0.000 0.000 0.000
Rh1 Rh 0.500 0.500 0.500
Se1 Se 0.000 0.000 0.500
N1 N 0.000 0.500 0.000
```



3.
Below is a crystal of KSr2Au relaxed with PBEsol, with properties calculated at the SCAN level.

Output
volume: 40.35 Å³/atom
total magnetic moment: 0.04 Bohr magnetons per cell
raw total energy: -30.95 eV/atom

```
data_KSr2Au
_chemical_formula_sum 'K1 Sr2 Au1'
_space_group_name_H-M_alt 'P 4/m m m'
_space_group_IT_number 123
_space_group_name_Hall '-P 4 2'
_cell_length_a 3.870
_cell_length_b 3.870
_cell_length_c 10.778
_cell_angle_alpha 90.00
_cell_angle_beta 90.00
_cell_angle_gamma 90.00
loop_
_atom_site_label
_atom_site_type_symbol
_atom_site_fract_x
_atom_site_fract_y
_atom_site_fract_z
K1 K 0.000 0.000 0.000
Sr1 Sr 0.500 0.500 0.336
Au1 Au 0.000 0.000 0.500
```